## NaMnCl2 (PBE-GGA)

Data for crystalline NaMnCl2 at its relaxed geometry.

Lattice parameters (Å, degrees): 7.9891 7.9891 7.9891 28.48 28.48 28.48
Last column: nearest neighbours and their distance in Å.
Sites, in units of the cell vectors:
Cl: 0.9019 0.9019 0.9019  1 Mn 2.25
Mn: 0.0000 0.0000 0.0000  2 Cl 2.25
Na: 0.5000 0.5000 0.5000  6 Cl 2.76
Cl: 0.0981 0.0981 0.0981  1 Mn 2.25

Properties
As for the space group: R-3m.

## NaMnCl3 (PBE-GGA)

Data for crystalline NaMnCl3 at its relaxed geometry.

Lattice parameters (Å, degrees): 7.3491 7.3491 7.3491 53.66 53.66 53.66
Last column: nearest neighbours and their distance in Å.
Sites, in units of the cell vectors:
Mn: 0.3404 0.3404 0.3404  6 Cl 2.53-2.59
Mn: 0.6596 0.6596 0.6596  6 Cl 2.53-2.59
Na: 0.8548 0.8548 0.8548  6 Cl 2.77-2.93
Na: 0.1452 0.1452 0.1452  6 Cl 2.77-2.93
Cl: 0.4514 0.7128 0.0665  2 Mn 2.53-2.59, 1 Na 2.77
Cl: 0.7128 0.0665 0.4514  2 Mn 2.53-2.59, 1 Na 2.77
Cl: 0.2872 0.9335 0.5486  2 Mn 2.53-2.59, 1 Na 2.77
Cl: 0.9335 0.5486 0.2872  2 Mn 2.53-2.59, 1 Na 2.77
Cl: 0.5486 0.2872 0.9335  2 Mn 2.53-2.59, 1 Na 2.77
Cl: 0.0665 0.4514 0.7128  2 Mn 2.53-2.59, 1 Na 2.77

Properties
As for the space group: R-3.

## NaMn2Cl6 (PBE-GGA)

Data for crystalline NaMn2Cl6 at its relaxed geometry.

Lattice parameters (Å, degrees): 4.8264 6.7389 8.1450 73.53 72.77 69.02
Last column: nearest neighbours and their distance in Å.
Sites, in units of the cell vectors:
Cl: 0.0148 0.1621 0.8083  2 Mn 2.38-2.53
Cl: 0.3395 0.6932 0.6278  1 Mn 2.28
Cl: 0.9852 0.8379 0.1917  2 Mn 2.38-2.53
Cl: 0.6605 0.3068 0.3722  1 Mn 2.28
Cl: 0.3086 0.3128 0.0700  2 Mn 2.45
Mn: 0.8306 0.2457 0.0932  5 Cl 2.28-2.53
Na: 0.0000 0.5000 0.5000  6 Cl 2.87-2.96
Mn: 0.1694 0.7543 0.9068  5 Cl 2.28-2.53
Cl: 0.6914 0.6872 0.9300  2 Mn 2.45

Properties
As for the space group: C2/m.

## NaMnCl3 (PBE-GGA)

Data for crystalline NaMnCl3 at its relaxed geometry.

Lattice parameters (Å, degrees): 5.0092 5.0092 5.0092 90.00 90.00 90.00
Last column: nearest neighbours and their distance in Å.
Sites, in units of the cell vectors:
Cl: 0.0000 0.0000 0.5000  2 Mn 2.50
Cl: 0.0000 0.5000 0.0000  2 Mn 2.50
Mn: 0.0000 0.0000 0.0000  6 Cl 2.50
Cl: 0.5000 0.0000 0.0000  2 Mn 2.50
Na: 0.5000 0.5000 0.5000  12 Cl 3.54

Properties
As for the space group: Pm-3m.

## Na3MnCl (PBE-GGA)

Data for crystalline Na3MnCl at its relaxed geometry.

Lattice parameters (Å, degrees): 5.8284 5.8284 5.8284 90.00 90.00 90.00
Last column: nearest neighbours and their distance in Å.
Sites, in units of the cell vectors:
Na: 0.0000 0.0000 0.5000  2 Mn 2.91
Mn: 0.0000 0.0000 0.0000  6 Na 2.91
Na: 0.0000 0.5000 0.0000  2 Mn 2.91
Na: 0.5000 0.0000 0.0000  2 Mn 2.91
Cl: 0.5000 0.5000 0.5000  12 Na 4.12

Properties
As for the space group: Pm-3m.

## NaMnCl6 (PBE-GGA)

Data for crystalline NaMnCl6 at its relaxed geometry.

Lattice parameters (Å, degrees): 11.9736 6.9039 17.1566 34.67 18.48 29.87
Last column: nearest neighbours and their distance in Å.
Sites, in units of the cell vectors:
Cl: 0.5966 0.0000 0.6139  1 Mn 2.27
Cl: 0.4034 0.0000 0.3861  1 Mn 2.27
Cl: 0.2591 0.5328 0.8904  1 Mn 2.26
Cl: 0.2081 0.5328 0.1096  1 Mn 2.26
Na: 0.0000 0.0000 0.5000  6 Cl 2.88-3.04
Mn: 0.0000 0.0000 0.0000  6 Cl 2.26-2.27
Cl: 0.7409 0.4672 0.1096  1 Mn 2.26
Cl: 0.7919 0.4672 0.8904  1 Mn 2.26

Properties
As for the space group: C2/m.

Energy relative to the elements, uncorrected? In order: -0.926, -1.370, -1.164, -1.247, 0.338, -0.841 eV per atom.
Density? In order: 2.411, 2.560, 2.479, 2.435, 1.337, 2.155 g/cm3.